Entry 1:
A plane-wave DFT calculation with PBE was carried out for crystalline LiW2Au at its relaxed geometry.

Results
For the energy of formation from the pure elements, the calculation gives 0.3557 eV/atom. The calculation puts the total energy at -7.42 eV per atom. The calculation puts the density of states at the Fermi level at 2.88 states/eV per cell.

a b c (Å): 2.6806 4.8580 4.9484
angles (deg): 90.00 98.39 90.00
Space group P2/m (No. 10)
Unique sites:
Li  0.0000  0.0000  0.0000 (multiplicity 1)
W  0.2427  0.5000  0.7555 (multiplicity 2)
Au  0.5000  0.0000  0.5000 (multiplicity 1)

=====

Entry 2:
A plane-wave DFT calculation with PBE was carried out for crystalline LiY2Au at its relaxed geometry.

Results
For the energy of formation from the pure elements, the calculation gives -0.3358 eV/atom. The calculation puts the total energy at -4.87 eV per atom. The calculation puts the density of states at the Fermi level at 8.33 states/eV per cell.

a b c (Å): 3.6279 4.9849 10.8163
angles (deg): 90.00 90.00 90.00
Space group Imm2 (No. 44)
Unique sites:
Li  0.0000  0.0000  0.0000 (multiplicity 2)
Y  0.0000  0.0000  0.5806 (multiplicity 2)
Y  0.0000  0.5000  0.7978 (multiplicity 2)
Au  0.0000  0.5000  0.3067 (multiplicity 2)

=====

Entry 3:
A plane-wave DFT calculation with PBE was carried out for crystalline Li2YAu at its relaxed geometry.

Results
For the energy of formation from the pure elements, the calculation gives -0.2544 eV/atom. The calculation puts the total energy at -3.65 eV per atom. The calculation puts the density of states at the Fermi level at 9.57 states/eV per cell.

a b c (Å): 4.1271 4.1271 20.8054
angles (deg): 90.00 90.00 90.00
Space group I-42d (No. 122)
Unique sites:
Li  0.1833  0.7500  0.1250 (multiplicity 8)
Y  0.0000  0.0000  0.5000 (multiplicity 4)
Au  0.0000  0.0000  0.0000 (multiplicity 4)

=====

Entry 4:
A plane-wave DFT calculation with PBE was carried out for crystalline Li4YAu5 at its relaxed geometry.

Results
For the energy of formation from the pure elements, the calculation gives -0.5927 eV/atom. The calculation puts the total energy at -3.64 eV per atom. The calculation puts the density of states at the Fermi level at 3.71 states/eV per cell.

a b c (Å): 3.3534 3.3534 15.3966
angles (deg): 90.00 90.00 90.00
Space group P4/mmm (No. 123)
Unique sites:
Li  0.0000  0.0000  0.0930 (multiplicity 2)
Li  0.0000  0.0000  0.2781 (multiplicity 2)
Y  0.0000  0.0000  0.5000 (multiplicity 1)
Au  0.5000  0.5000  0.0000 (multiplicity 1)
Au  0.5000  0.5000  0.1868 (multiplicity 2)
Au  0.5000  0.5000  0.3745 (multiplicity 2)

=====

Entry 5:
A plane-wave DFT calculation with PBE was carried out for crystalline Li4YAu at its relaxed geometry.

Results
For the energy of formation from the pure elements, the calculation gives -0.1621 eV/atom. The calculation puts the total energy at -3.06 eV per atom. The calculation puts the density of states at the Fermi level at 24.27 states/eV per cell.

a b c (Å): 7.4979 7.4979 7.4979
angles (deg): 90.00 90.00 90.00
Space group F-43m (No. 216)
Unique sites:
Li  0.1220  0.1220  0.3780 (multiplicity 16)
Y  0.0000  0.0000  0.0000 (multiplicity 4)
Au  0.2500  0.2500  0.7500 (multiplicity 4)

=====

Entry 6:
A plane-wave DFT calculation with PBE was carried out for crystalline Li2YAu at its relaxed geometry.

Results
For the energy of formation from the pure elements, the calculation gives -0.2386 eV/atom. The calculation puts the total energy at -3.63 eV per atom. The calculation puts the density of states at the Fermi level at 2.75 states/eV per cell.

a b c (Å): 3.5224 3.5224 6.4154
angles (deg): 90.00 90.00 90.00
Space group P4/mmm (No. 123)
Unique sites:
Li  0.0000  0.0000  0.1833 (multiplicity 2)
Y  0.5000  0.5000  0.5000 (multiplicity 1)
Au  0.5000  0.5000  0.0000 (multiplicity 1)